Entry 1:
DFT (PBEsol) results for TaCrCu after structural relaxation.

a = 5.7238 Å, b = 5.7238 Å, c = 5.7238 Å
α = 90.00°, β = 90.00°, γ = 90.00°
Positions (direct):
Ta  0.0000  0.0000  0.0000
Ta  0.0000  0.5000  0.5000
Ta  0.5000  0.0000  0.5000
Ta  0.5000  0.5000  0.0000
Cr  0.0000  0.0000  0.5000
Cr  0.0000  0.5000  0.0000
Cr  0.5000  0.0000  0.0000
Cr  0.5000  0.5000  0.5000
Cu  0.2500  0.2500  0.7500
Cu  0.2500  0.7500  0.2500
Cu  0.7500  0.2500  0.2500
Cu  0.7500  0.7500  0.7500

Polymorph energy (0 for the lowest one) in meV/atom: 574
Space-group type: F-43m
ΔH_f (0 K) in eV/atom: 0.8561
DOS at the Fermi energy in states/eV per cell: 9.8

=====

Entry 2:
DFT (PBEsol) results for TaCr2Cu after structural relaxation.

a = 3.2380 Å, b = 3.9651 Å, c = 4.0231 Å
α = 90.00°, β = 90.00°, γ = 90.00°
Positions (direct):
Ta  0.0000  0.0000  0.0000
Cr  0.0000  0.5000  0.5000
Cr  0.5000  0.0000  0.5000
Cu  0.5000  0.5000  0.0000

Space-group type: Pmmm
ΔH_f (0 K) in eV/atom: 0.2630
DOS at the Fermi energy in states/eV per cell: 3.6

=====

Entry 3:
DFT (PBEsol) results for TaCrCu after structural relaxation.

a = 5.8606 Å, b = 5.8606 Å, c = 5.8606 Å
α = 90.00°, β = 90.00°, γ = 90.00°
Positions (direct):
Ta  0.0000  0.0000  0.0000
Ta  0.0000  0.5000  0.5000
Ta  0.5000  0.0000  0.5000
Ta  0.5000  0.5000  0.0000
Cr  0.2500  0.2500  0.7500
Cr  0.2500  0.7500  0.2500
Cr  0.7500  0.2500  0.2500
Cr  0.7500  0.7500  0.7500
Cu  0.2500  0.2500  0.2500
Cu  0.2500  0.7500  0.7500
Cu  0.7500  0.2500  0.7500
Cu  0.7500  0.7500  0.2500

Polymorph energy (0 for the lowest one) in meV/atom: 938
Space-group type: F-43m
ΔH_f (0 K) in eV/atom: 1.2192
DOS at the Fermi energy in states/eV per cell: 19.8

=====

Entry 4:
DFT (PBEsol) results for TaCr2Cu after structural relaxation.

a = 2.5471 Å, b = 2.5471 Å, c = 8.0789 Å
α = 90.00°, β = 90.00°, γ = 90.00°
Positions (direct):
Ta  0.0000  0.0000  0.0000
Cr  0.5000  0.5000  0.2739
Cr  0.5000  0.5000  0.7261
Cu  0.0000  0.0000  0.5000

Space-group type: P4/mmm
ΔH_f (0 K) in eV/atom: 0.4055
DOS at the Fermi energy in states/eV per cell: 3.8

=====

Entry 5:
DFT (PBEsol) results for TaCr2Cu after structural relaxation.

a = 5.1716 Å, b = 8.1901 Å, c = 2.4897 Å
α = 90.00°, β = 90.00°, γ = 90.00°
Positions (direct):
Ta  0.0000  0.0000  0.0000
Ta  0.5000  0.5000  0.0000
Cr  0.2500  0.2500  0.5000
Cr  0.2500  0.7500  0.5000
Cr  0.7500  0.2500  0.5000
Cr  0.7500  0.7500  0.5000
Cu  0.0000  0.5000  0.0000
Cu  0.5000  0.0000  0.0000

Space-group type: Cmmm
ΔH_f (0 K) in eV/atom: 0.4557
DOS at the Fermi energy in states/eV per cell: 9.0

=====

Entry 6:
DFT (PBEsol) results for TaCrCu after structural relaxation.

a = 3.2085 Å, b = 4.1195 Å, c = 12.3362 Å
α = 90.00°, β = 90.00°, γ = 90.00°
Positions (direct):
Ta  0.0000  0.0000  0.0000
Ta  0.0000  0.5000  0.5000
Ta  0.5000  0.0000  0.5000
Ta  0.5000  0.5000  0.0000
Cr  0.0000  0.0000  0.3281
Cr  0.0000  0.5000  0.8281
Cr  0.5000  0.0000  0.8281
Cr  0.5000  0.5000  0.3281
Cu  0.0000  0.0000  0.6745
Cu  0.0000  0.5000  0.1745
Cu  0.5000  0.0000  0.1745
Cu  0.5000  0.5000  0.6745

Polymorph energy (0 for the lowest one) in meV/atom: 0
Space-group type: Fmm2
ΔH_f (0 K) in eV/atom: 0.2816
DOS at the Fermi energy in states/eV per cell: 9.9

=====

What is the formula in the first record? TaCrCu